First-principles (PBE-GGA) data for an optimized crystal structure of SrIr2ClO, as listed in Alexandria.

abc: 3.999 6.101 3.999
angles: 90.00 90.00 90.00
Last column: magnetic moment on the atom in μB.
Positions (direct):
Cl 0.000 0.500 0.000  0.00
Ir 0.500 0.000 0.000  0.41
Ir 0.000 0.000 0.500  0.17
Sr 0.500 0.500 0.500  0.00
O 0.000 0.000 0.000  0.12

Values from the calculation:
As for the energy: -28.42 eV for the cell shown. The calculation puts the formation energy (no corrections) at -442.3 meV per atom.